Entry 1:
TaSi2: optimized geometry, PBE.

Values from the calculation:
energy relative to the elements, uncorrected	0.78	eV/atom
SG	Pa-3
calculated volume	19.955	A^3/atom

Lattice parameters (Å, degrees): 6.210 6.210 6.210 90.00 90.00 90.00
Fractional coordinates of all 12 atoms:
Ta1 0.000 0.000 0.000
Ta2 0.000 0.500 0.500
Ta3 0.500 0.000 0.500
Ta4 0.500 0.500 0.000
Si1 0.113 0.613 0.887
Si2 0.113 0.887 0.387
Si3 0.387 0.113 0.887
Si4 0.387 0.387 0.387
Si5 0.613 0.613 0.613
Si6 0.613 0.887 0.113
Si7 0.887 0.113 0.613
Si8 0.887 0.387 0.113


Entry 2:
MgPt6Pb: optimized geometry, PBE.

Values from the calculation:
SG	P4/mmm
calculated volume	16.576	A^3/atom
formation energy	-0.363	eV/atom

Lattice parameters (Å, degrees): 4.030 4.030 8.165 90.00 90.00 90.00
Fractional coordinates of all 8 atoms:
Mg1 0.000 0.000 0.000
Pt1 0.000 0.500 0.235
Pt2 0.000 0.500 0.765
Pt3 0.500 0.000 0.235
Pt4 0.500 0.000 0.765
Pt5 0.500 0.500 0.000
Pt6 0.500 0.500 0.500
Pb1 0.000 0.000 0.500


Entry 3:
Zr2NpZn: optimized geometry, PBE.

Values from the calculation:
distance to the lowest polymorph of the same formula	44	meV per atom
SG	P4/mmm
calculated volume	20.762	A^3/atom
formation energy	0.124	eV/atom

Lattice parameters (Å, degrees): 4.548 4.548 4.015 90.00 90.00 90.00
Fractional coordinates of all 4 atoms:
Zr1 0.000 0.500 0.000
Zr2 0.500 0.000 0.000
Np1 0.000 0.000 0.500
Zn1 0.500 0.500 0.500


Entry 4:
La7Pr2Nd: optimized geometry, PBE.

Values from the calculation:
distance to the lowest polymorph of the same formula	528	meV per atom
SG	Cmmm
calculated volume	41.898	A^3/atom
formation energy	0.538	eV/atom

Lattice parameters (Å, degrees): 9.335 9.335 5.667 90.00 90.00 121.96
Fractional coordinates of all 10 atoms:
La1 0.000 0.000 0.000
La2 0.199 0.427 0.000
La3 0.258 0.742 0.500
La4 0.427 0.199 0.000
La5 0.573 0.801 0.000
La6 0.742 0.258 0.500
La7 0.801 0.573 0.000
Pr1 0.200 0.800 0.000
Pr2 0.800 0.200 0.000
Nd1 0.500 0.500 0.500


Entry 5:
CrCoNiPt2: optimized geometry, PBE.

Values from the calculation:
SG	P4/mmm
calculated volume	16.950	A^3/atom
formation energy	1.160	eV/atom

Lattice parameters (Å, degrees): 4.568 4.568 4.062 90.00 90.00 90.00
Fractional coordinates of all 5 atoms:
Cr1 0.000 0.000 0.000
Co1 0.000 0.000 0.500
Ni1 0.500 0.500 0.500
Pt1 0.000 0.500 0.000
Pt2 0.500 0.000 0.000


Entry 6:
LiFeTe2: optimized geometry, PBE.

Values from the calculation:
energy relative to the elements, uncorrected	-0.21	eV/atom
SG	Pmm2
calculated volume	26.171	A^3/atom

Lattice parameters (Å, degrees): 3.362 4.425 7.037 90.00 90.00 90.00
Fractional coordinates of all 4 atoms:
Li1 0.000 0.000 0.000
Fe1 0.000 0.500 0.400
Te1 0.000 0.000 0.599
Te2 0.500 0.500 0.116


Entry 7:
BaPrCrN4: optimized geometry, PBE.

Values from the calculation:
energy relative to the elements, uncorrected	-0.72	eV/atom
SG	P2_1/m
calculated volume	17.634	A^3/atom

Lattice parameters (Å, degrees): 5.973 5.747 7.519 90.00 106.97 90.00
Fractional coordinates of all 14 atoms:
Ba1 0.215 0.250 0.425
Ba2 0.785 0.750 0.575
Pr1 0.279 0.250 0.947
Pr2 0.721 0.750 0.053
Cr1 0.267 0.750 0.180
Cr2 0.733 0.250 0.820
N1 0.083 0.750 0.324
N2 0.091 0.750 0.953
N3 0.453 0.511 0.212
N4 0.453 0.989 0.212
N5 0.547 0.011 0.788
N6 0.547 0.489 0.788
N7 0.909 0.250 0.047
N8 0.917 0.250 0.676


Entry 8:
Dy3Ho4S8: optimized geometry, PBE.

Values from the calculation:
energy relative to the elements, uncorrected	-2.05	eV/atom
SG	C2/m
calculated volume	22.140	A^3/atom

Lattice parameters (Å, degrees): 7.773 7.773 7.770 119.98 119.98 90.01
Fractional coordinates of all 15 atoms:
Dy1 0.000 0.000 0.000
Dy2 0.000 0.500 0.000
Dy3 0.500 0.000 0.000
Ho1 0.000 0.500 0.500
Ho2 0.500 0.000 0.500
Ho3 0.500 0.500 0.000
Ho4 0.500 0.500 0.500
S1 0.250 0.250 0.501
S2 0.250 0.250 0.999
S3 0.250 0.750 0.500
S4 0.251 0.749 0.000
S5 0.749 0.251 0.000
S6 0.750 0.250 0.500
S7 0.750 0.750 0.001
S8 0.750 0.750 0.499